No. 1
The following is a DFT calculation (GGA-PBE) of a relaxed structure of U2PaMn.

Geometry as extended XYZ:
```
4
Lattice="3.433 0.000 0.000 0.000 3.433 0.000 0.000 0.000 6.730" Properties=species:S:1:pos:R:3 pbc="T T T"
U 0.000 0.000 1.313
U 0.000 0.000 5.417
Pa 1.717 1.717 3.365
Mn 1.717 1.717 0.000
```

Computed properties:
The energy above the lowest structure with this stoichiometry is 0.0 meV per atom. The calculation puts the total moment at 1.47 μB/f.u. Its raw total energy is -10.156 eV/atom.

***

No. 2
The following is a DFT calculation (GGA-PBE) of a relaxed structure of UPa2Mn2.

Geometry as extended XYZ:
```
10
Lattice="4.684 -2.783 0.000 4.684 2.783 0.000 -1.258 0.000 7.292" Properties=species:S:1:pos:R:3 pbc="T T T"
U 3.741 2.011 5.469
U 4.370 -2.011 1.823
Pa 2.855 0.610 2.538
Pa 2.226 -0.610 6.184
Pa 5.884 0.610 1.108
Pa 5.255 -0.610 4.755
Mn 1.170 0.635 0.026
Mn 0.541 -0.635 3.673
Mn 7.569 0.635 3.620
Mn 6.940 -0.635 7.266
```

Computed properties:
The calculation puts the total moment at 0.00 μB/f.u. Its raw total energy is -9.798 eV/atom.

***

No. 3
The following is a DFT calculation (GGA-PBE) of a relaxed structure of UPaMn2.

Geometry as extended XYZ:
```
4
Lattice="3.157 0.000 0.000 0.000 3.157 0.000 0.000 0.000 6.933" Properties=species:S:1:pos:R:3 pbc="T T T"
U 0.000 0.000 0.000
Pa 0.000 0.000 3.466
Mn 1.579 1.579 1.350
Mn 1.579 1.579 5.583
```

Computed properties:
The energy above the lowest structure with this stoichiometry is 0.0 meV per atom. The calculation puts the total moment at 0.00 μB/f.u. Its raw total energy is -9.646 eV/atom.

***

No. 4
The following is a DFT calculation (GGA-PBE) of a relaxed structure of PaMnV.

Geometry as extended XYZ:
```
3
Lattice="-1.664 1.664 4.427 1.664 -1.664 4.427 1.664 1.664 -4.427" Properties=species:S:1:pos:R:3 pbc="T T T"
Pa 0.000 0.000 0.000
Mn 0.000 0.000 5.692
V 0.000 0.000 2.804
```

Computed properties:
The energy above the lowest structure with this stoichiometry is 27.6 meV per atom. The calculation puts the total moment at 0.26 μB/f.u. Its raw total energy is -8.992 eV/atom.

***

No. 5
The following is a DFT calculation (GGA-PBE) of a relaxed structure of PaMnV.

Geometry as extended XYZ:
```
3
Lattice="3.887 0.000 0.000 -1.943 3.366 0.000 0.000 0.000 4.065" Properties=species:S:1:pos:R:3 pbc="T T T"
Pa 0.000 0.000 0.000
Mn 1.943 1.122 1.648
V 0.000 2.244 2.145
```

Computed properties:
The energy above the lowest structure with this stoichiometry is 0.0 meV per atom. The calculation puts the total moment at 0.00 μB/f.u. Its raw total energy is -9.020 eV/atom.

***

No. 6
The following is a DFT calculation (GGA-PBE) of a relaxed structure of PaMnV2.

Geometry as extended XYZ:
```
4
Lattice="4.484 0.000 0.000 0.000 4.484 0.000 0.000 0.000 3.187" Properties=species:S:1:pos:R:3 pbc="T T T"
Pa 0.000 0.000 0.000
Mn 2.242 2.242 0.000
V 0.000 2.242 1.594
V 2.242 0.000 1.594
```

Computed properties:
The energy above the lowest structure with this stoichiometry is 149.1 meV per atom. The calculation puts the total moment at 1.19 μB/f.u. Its raw total energy is -8.986 eV/atom.

***

No. 7
The following is a DFT calculation (GGA-PBE) of a relaxed structure of PaMnV2.

Geometry as extended XYZ:
```
4
Lattice="2.902 0.000 0.000 0.000 2.902 0.000 0.000 0.000 7.410" Properties=species:S:1:pos:R:3 pbc="T T T"
Pa 0.000 0.000 0.000
Mn 0.000 0.000 3.705
V 1.451 1.451 2.303
V 1.451 1.451 5.107
```

Computed properties:
The energy above the lowest structure with this stoichiometry is 0.0 meV per atom. The calculation puts the total moment at 0.00 μB/f.u. Its raw total energy is -9.135 eV/atom.

***

No. 8
The following is a DFT calculation (GGA-PBE) of a relaxed structure of PaMnV.

Geometry as extended XYZ:
```
3
Lattice="1.447 0.836 6.771 -1.447 0.836 6.771 0.000 -1.671 6.771" Properties=species:S:1:pos:R:3 pbc="T T T"
Pa 0.000 0.000 0.000
Mn 0.000 0.000 17.912
V 0.000 0.000 2.634
```

Computed properties:
The energy above the lowest structure with this stoichiometry is 231.3 meV per atom. The calculation puts the total moment at 0.00 μB/f.u. Its raw total energy is -8.788 eV/atom.

***

No. 9
The following is a DFT calculation (GGA-PBE) of a relaxed structure of PaMnV2.

Geometry as extended XYZ:
```
4
Lattice="1.901 1.098 5.438 -1.901 1.098 5.438 0.000 -2.195 5.438" Properties=species:S:1:pos:R:3 pbc="T T T"
Pa 0.000 0.000 0.000
Mn 0.000 0.000 8.158
V 0.000 0.000 3.520
V 0.000 0.000 12.795
```

Computed properties:
The energy above the lowest structure with this stoichiometry is 198.0 meV per atom. The calculation puts the total moment at 0.00 μB/f.u. Its raw total energy is -8.937 eV/atom.

***

No. 10
The following is a DFT calculation (GGA-PBE) of a relaxed structure of Pa2MnV.

Geometry as extended XYZ:
```
4
Lattice="3.459 0.000 0.000 0.000 3.459 0.000 0.000 0.000 6.511" Properties=species:S:1:pos:R:3 pbc="T T T"
Pa 0.000 0.000 1.462
Pa 0.000 0.000 5.049
Mn 1.729 1.729 0.000
V 1.729 1.729 3.256
```

Computed properties:
The energy above the lowest structure with this stoichiometry is 0.0 meV per atom. The calculation puts the total moment at 2.34 μB/f.u. Its raw total energy is -9.061 eV/atom.

***

No. 11
The following is a DFT calculation (GGA-PBE) of a relaxed structure of PaMn4V.

Geometry as extended XYZ:
```
6
Lattice="0.000 3.496 3.496 3.496 0.000 3.496 3.496 3.496 0.000" Properties=species:S:1:pos:R:3 pbc="T T T"
Pa 0.000 0.000 0.000
Mn 2.626 2.626 2.626
Mn 4.365 4.365 2.626
Mn 4.365 2.626 4.365
Mn 2.626 4.365 4.365
V 5.243 5.243 5.243
```

Computed properties:
The calculation puts the total moment at 4.71 μB/f.u. Its raw total energy is -9.159 eV/atom.

***

No. 12
The following is a DFT calculation (GGA-PBE) of a relaxed structure of Pa2MnV.

Geometry as extended XYZ:
```
4
Lattice="0.000 3.364 3.364 3.364 0.000 3.364 3.364 3.364 0.000" Properties=species:S:1:pos:R:3 pbc="T T T"
Pa 1.682 1.682 1.682
Pa 5.046 5.046 5.046
Mn 0.000 0.000 0.000
V 3.364 3.364 3.364
```

Computed properties:
The energy above the lowest structure with this stoichiometry is 39.5 meV per atom. The calculation puts the total moment at 0.44 μB/f.u. Its raw total energy is -9.021 eV/atom.

***

Formation energy from the elements per entry: 154 -74 135 269 242 240 91 473 289 259 56 299 meV per atom